[1]
Density functional theory data (GGA-PBE) for an optimized crystal structure of AcMgNi.

Cell: 6.445 6.445 6.445 Å, 148.41 148.41 45.28°
Sites, in units of the cell vectors:
Ac 0.000 0.000 0.000
Mg 0.270 0.270 0.000
Ni 0.655 0.655 0.000

Values from the calculation:
- energy above the most stable polymorph in this dataset (meV per atom) = 194
- formation enthalpy at 0 K (eV per formula unit) = -0.07
- ρ (g cm⁻³) = 7.03
- total DFT energy (no corrections) (eV/atom) = -3.852



[2]
Density functional theory data (GGA-PBE) for an optimized crystal structure of Ac2Mg3Ni2.

Cell: 5.893 5.893 7.680 Å, 95.45 95.45 40.69°
Sites, in units of the cell vectors:
Ac 0.127 0.127 0.356
Ac 0.873 0.873 0.644
Mg 0.171 0.171 0.860
Mg 0.500 0.500 0.000
Mg 0.829 0.829 0.140
Ni 0.424 0.424 0.357
Ni 0.576 0.576 0.643

Values from the calculation:
- formation enthalpy at 0 K (eV per formula unit) = -1.19
- ρ (g cm⁻³) = 6.18
- total DFT energy (no corrections) (eV/atom) = -3.679



- total DFT energy (no corrections) of number 2 (Ac2Mg3Ni2)?
  -3.679 eV/atom



- Among the records above, which one has the lowest total DFT energy (no corrections)?
  AcMgNi